VASP calculation (GGA+U) on a relaxed MnCoIO2 crystal.

Output
* theoretical density: 4.72 g cm⁻³
* SG: P4/mmm
* energy: -5.120 eV/atom
* offset from the most stable computed form: 0.000 eV per atom

The structure in extended XYZ format:
```
5
Lattice="3.7787 0.0000 0.0000 0.0000 3.7787 0.0000 0.0000 0.0000 6.7160" Properties=species:S:1:pos:R:3 pbc="T T T"
O 0.0000 1.8893 0.0000
O 1.8893 0.0000 0.0000
I 0.0000 0.0000 3.3580
Mn 0.0000 0.0000 0.0000
Co 1.8893 1.8893 3.3580
```